Record 1
# LiSnMo3

LiSnMo3 after structural relaxation (GGA-PBE, the Alexandria database).

The structure belongs to space group Pm-3m (No. 221); the cell edges are 4.316, 4.316 and 4.316 Å and the angles 90.00°, 90.00° and 90.00°. The asymmetric unit holds Li at (0.000, 0.000, 0.000), Sn at (0.500, 0.500, 0.500) and Mo at (0.000, 0.000, 0.500).

As for the energy of formation: 1.11 eV per atom. As for the energy above the most stable polymorph in this dataset: 0.0000 eV/atom.

Record 2
# LiSn2Mo

LiSn2Mo after structural relaxation (GGA-PBE, the Alexandria database).

The structure belongs to space group Fm-3m (No. 225); the cell edges are 6.708, 6.708 and 6.708 Å and the angles 90.00°, 90.00° and 90.00°. The asymmetric unit holds Li at (0.000, 0.000, 0.000), Sn at (0.250, 0.250, 0.250) and Mo at (0.000, 0.000, 0.500).

As for the energy of formation: 0.17 eV per atom. As for the energy above the most stable polymorph in this dataset: 0.1633 eV/atom.

Record 3
# LiSnMo3

LiSnMo3 after structural relaxation (GGA-PBE, the Alexandria database).

The structure belongs to space group Pm-3m (No. 221); the cell edges are 4.967, 4.967 and 4.967 Å and the angles 90.00°, 90.00° and 90.00°. The asymmetric unit holds Li at (0.000, 0.000, 0.000), Sn at (0.500, 0.500, 0.500) and Mo at (0.000, 0.500, 0.500).

As for the energy of formation: 2.18 eV per atom. As for the energy above the most stable polymorph in this dataset: 1.0682 eV/atom.

Record 4
# LiSn2Mo

LiSn2Mo after structural relaxation (GGA-PBE, the Alexandria database).

The structure belongs to space group P4/mmm (No. 123); the cell edges are 3.471, 3.471 and 6.199 Å and the angles 90.00°, 90.00° and 90.00°. The asymmetric unit holds Li at (0.000, 0.000, 0.000), Sn at (0.500, 0.500, 0.252) and Mo at (0.000, 0.000, 0.500).

As for the energy of formation: 0.01 eV per atom. As for the energy above the most stable polymorph in this dataset: 0.0000 eV/atom.

Record 5
# Li3SnMo

Li3SnMo after structural relaxation (GGA-PBE, the Alexandria database).

The structure belongs to space group Pm-3m (No. 221); the cell edges are 4.935, 4.935 and 4.935 Å and the angles 90.00°, 90.00° and 90.00°. The asymmetric unit holds Li at (0.000, 0.000, 0.500), Sn at (0.500, 0.500, 0.500) and Mo at (0.000, 0.000, 0.000).

As for the energy of formation: 1.07 eV per atom. As for the energy above the most stable polymorph in this dataset: 0.0000 eV/atom.

Record 6
# LiSn2Mo

LiSn2Mo after structural relaxation (GGA-PBE, the Alexandria database).

The structure belongs to space group I-42d (No. 122); the cell edges are 4.415, 4.415 and 18.793 Å and the angles 90.00°, 90.00° and 90.00°. The asymmetric unit holds Li at (0.000, 0.000, 0.000), Sn at (0.250, 0.250, 0.125) and Mo at (0.000, 0.000, 0.500).

As for the energy of formation: 0.54 eV per atom. As for the energy above the most stable polymorph in this dataset: 0.5331 eV/atom.

Record 7
# LiSn3Mo

LiSn3Mo after structural relaxation (GGA-PBE, the Alexandria database).

The structure belongs to space group Pm-3m (No. 221); the cell edges are 5.289, 5.289 and 5.289 Å and the angles 90.00°, 90.00° and 90.00°. The asymmetric unit holds Li at (0.000, 0.000, 0.000), Sn at (0.000, 0.500, 0.500) and Mo at (0.500, 0.500, 0.500).

As for the energy of formation: 0.23 eV per atom. As for the energy above the most stable polymorph in this dataset: 0.0000 eV/atom.

Record 8
# LiSn2Mo2

LiSn2Mo2 after structural relaxation (GGA-PBE, the Alexandria database).

The structure belongs to space group P4/mbm (No. 127); the cell edges are 8.028, 8.028 and 3.144 Å and the angles 90.00°, 90.00° and 90.00°. The asymmetric unit holds Li at (0.000, 0.000, 0.000), Sn at (0.184, 0.316, 0.500) and Mo at (0.105, 0.605, 0.000).

As for the energy of formation: 0.20 eV per atom. As for the energy above the most stable polymorph in this dataset: 0.0000 eV/atom.